No. 1
# Cr3Mo

Cr3Mo after structural relaxation (PBE-GGA, Alexandria).

Results
Its energy of formation from the pure elements is 0.0540 eV/atom.

Unit cell a=4.1743 b=4.1743 c=2.9643 alpha=90.00 beta=90.00 gamma=90.00
With the nearest neighbours (Å) after each atom.
Space group P4/mmm (No. 123)
Symmetry-distinct sites (fractional):
Cr: 0.0000 0.0000 0.0000  8 Cr 2.56
Cr: 0.0000 0.5000 0.5000  4 Mo 2.56, 4 Cr 2.56
Mo: 0.5000 0.5000 0.0000  8 Cr 2.56

No. 2
# CrMo

CrMo after structural relaxation (PBE-GGA, Alexandria).

Results
Its energy of formation from the pure elements is 0.4364 eV/atom.

Unit cell a=2.8030 b=2.8030 c=8.3337 alpha=90.00 beta=90.00 gamma=120.00
With the nearest neighbours (Å) after each atom.
Space group P-3m1 (No. 164)
Symmetry-distinct sites (fractional):
Cr: 0.3333 0.6667 0.4031  3 Cr 2.29
Mo: 0.3333 0.6667 0.8588  3 Cr 2.72, 9 Mo 2.80-2.86

No. 3
# CrMo

CrMo after structural relaxation (PBE-GGA, Alexandria).

Results
Its energy of formation from the pure elements is 0.0795 eV/atom.

Unit cell a=2.6470 b=4.2558 c=4.9994 alpha=90.00 beta=99.93 gamma=90.00
With the nearest neighbours (Å) after each atom.
Space group P2_1/m (No. 11)
Symmetry-distinct sites (fractional):
Cr: 0.1286 0.2500 0.3797  4 Mo 2.55-2.69, 4 Cr 2.59-2.65
Mo: 0.3781 0.7500 0.1359  4 Cr 2.55-2.69, 4 Mo 2.65-2.66

No. 4
# CrMo5

CrMo5 after structural relaxation (PBE-GGA, Alexandria).

Results
The calculation puts the energy relative to the lowest polymorph listed for this composition at 647 meV/atom. Its energy of formation from the pure elements is 0.6757 eV/atom.

Unit cell a=5.2533 b=5.2533 c=4.4409 alpha=90.00 beta=90.00 gamma=120.00
With the nearest neighbours (Å) after each atom.
Space group P6/mmm (No. 191)
Symmetry-distinct sites (fractional):
Cr: 0.0000 0.0000 0.0000  6 Mo 3.03
Mo: 0.0000 0.5000 0.5000  8 Mo 2.63-2.69
Mo: 0.3333 0.6667 0.0000  6 Mo 2.69

No. 5
# Cr2Mo

Cr2Mo after structural relaxation (PBE-GGA, Alexandria).

Results
The calculation puts the energy relative to the lowest polymorph listed for this composition at 479 meV/atom. Its energy of formation from the pure elements is 0.5380 eV/atom.

Unit cell a=3.0641 b=3.0641 c=17.8343 alpha=90.00 beta=90.00 gamma=90.00
With the nearest neighbours (Å) after each atom.
Space group I4_1/amd (No. 141, origin choice 2)
Symmetry-distinct sites (fractional):
Cr: 0.0000 0.2500 0.2961  2 Cr 2.25
Mo: 0.0000 0.2500 0.8750  8 Cr 2.58

No. 6
# CrMo

CrMo after structural relaxation (PBE-GGA, Alexandria).

Results
Its energy of formation from the pure elements is 0.0793 eV/atom.

Unit cell a=9.5329 b=3.0308 c=6.0613 alpha=90.00 beta=108.38 gamma=90.00
With the nearest neighbours (Å) after each atom.
Space group Cm (No. 8)
Symmetry-distinct sites (fractional):
Cr: 0.0000 0.0000 0.0000  2 Cr 2.56, 6 Mo 2.59-2.68
Cr: 0.0019 0.0000 0.5127  6 Mo 2.57-2.62, 2 Cr 2.57
Cr: 0.3406 0.0000 0.6775  4 Cr 2.56-2.57, 4 Mo 2.63-2.64
Mo: 0.1656 0.5000 0.8346  6 Cr 2.57-2.64, 2 Mo 2.69
Mo: 0.1695 0.5000 0.3466  6 Cr 2.62-2.68, 2 Mo 2.67
Mo: 0.3417 0.0000 0.1762  4 Cr 2.59-2.61, 4 Mo 2.67-2.69